# 1
Entry from Alexandria via LeMat-Bulk: crystalline BaSrMo3 at its relaxed geometry (PBEsol).

```
5
Lattice="5.049 0.000 0.000 0.000 5.049 0.000 0.000 0.000 5.049" Properties=species:S:1:pos:R:3 pbc="T T T"
Ba 0.000 0.000 0.000
Sr 2.524 2.524 2.524
Mo 0.000 2.524 2.524
Mo 2.524 0.000 2.524
Mo 2.524 2.524 0.000
```

Calculated values
- Spin magnetization: 4.68 μB per formula unit
- Energy relative to the elements: 13.8 eV per formula unit
- Symmetry: Pm-3m
- Crystal system: cubic

---

# 2
Entry from Alexandria via LeMat-Bulk: crystalline Ba2SrMo at its relaxed geometry (PBEsol).

```
4
Lattice="3.878 0.000 0.000 0.000 3.878 0.000 0.000 0.000 10.448" Properties=species:S:1:pos:R:3 pbc="T T T"
Ba 0.000 0.000 1.964
Ba 0.000 0.000 8.484
Sr 1.939 1.939 5.224
Mo 1.939 1.939 0.000
```

Calculated values
- Distance to the lowest polymorph of the same formula: 0 meV/atom
- Spin magnetization: 2.27 μB per formula unit
- Energy relative to the elements: 3.4 eV per formula unit
- Symmetry: P4/mmm
- Crystal system: tetragonal

---

# 3
Entry from Alexandria via LeMat-Bulk: crystalline BaTaMo2 at its relaxed geometry (PBEsol).

```
4
Lattice="3.496 0.000 0.000 0.000 3.496 0.000 0.000 0.000 7.613" Properties=species:S:1:pos:R:3 pbc="T T T"
Ba 0.000 0.000 0.000
Ta 0.000 0.000 3.807
Mo 1.748 1.748 2.633
Mo 1.748 1.748 4.981
```

Calculated values
- Distance to the lowest polymorph of the same formula: 0 meV/atom
- Spin magnetization: 0.00 μB per formula unit
- Energy relative to the elements: 2.8 eV per formula unit
- Symmetry: P4/mmm
- Crystal system: tetragonal

---

# 4
Entry from Alexandria via LeMat-Bulk: crystalline BaTaMo2 at its relaxed geometry (PBEsol).

```
4
Lattice="0.000 3.381 3.381 3.381 0.000 3.381 3.381 3.381 0.000" Properties=species:S:1:pos:R:3 pbc="T T T"
Ba 0.000 0.000 0.000
Ta 3.381 3.381 3.381
Mo 1.691 1.691 1.691
Mo 5.072 5.072 5.072
```

Calculated values
- Distance to the lowest polymorph of the same formula: 464 meV/atom
- Spin magnetization: 0.00 μB per formula unit
- Energy relative to the elements: 4.6 eV per formula unit
- Symmetry: Fm-3m
- Crystal system: cubic

---

# 5
Entry from Alexandria via LeMat-Bulk: crystalline Ba2TaMo at its relaxed geometry (PBEsol).

```
4
Lattice="2.999 -5.631 0.000 2.999 5.631 0.000 -0.044 0.000 3.014" Properties=species:S:1:pos:R:3 pbc="T T T"
Ba 1.500 2.815 0.000
Ba 1.500 -2.815 0.000
Ta -0.022 0.000 1.507
Mo 2.977 0.000 1.507
```

Calculated values
- Spin magnetization: 0.00 μB per formula unit
- Energy relative to the elements: 5.6 eV per formula unit
- Symmetry: C2/m
- Crystal system: monoclinic

---

# 6
Entry from Alexandria via LeMat-Bulk: crystalline BaTaMo2 at its relaxed geometry (PBEsol).

```
4
Lattice="-1.592 2.641 4.663 1.592 -2.641 4.663 1.592 2.641 -4.663" Properties=species:S:1:pos:R:3 pbc="T T T"
Ba 0.000 0.000 0.000
Ta 0.000 0.000 4.663
Mo 1.592 0.000 2.461
Mo 0.000 2.641 2.202
```

Calculated values
- Distance to the lowest polymorph of the same formula: 524 meV/atom
- Spin magnetization: 0.00 μB per formula unit
- Energy relative to the elements: 4.9 eV per formula unit
- Symmetry: Immm
- Crystal system: orthorhombic

---

Copy entry 1 word for word.
Entry from Alexandria via LeMat-Bulk: crystalline BaSrMo3 at its relaxed geometry (PBEsol).

```
5
Lattice="5.049 0.000 0.000 0.000 5.049 0.000 0.000 0.000 5.049" Properties=species:S:1:pos:R:3 pbc="T T T"
Ba 0.000 0.000 0.000
Sr 2.524 2.524 2.524
Mo 0.000 2.524 2.524
Mo 2.524 0.000 2.524
Mo 2.524 2.524 0.000
```

Calculated values
- Spin magnetization: 4.68 μB per formula unit
- Energy relative to the elements: 13.8 eV per formula unit
- Symmetry: Pm-3m
- Crystal system: cubic

---

What is the formula in the third record?
BaTaMo2

---

Which formula does entry 1 have?
BaSrMo3

---

spin magnetization of number 6 (BaTaMo2)?
0.00 μB per formula unit